[1]
First-principles (PBE) data for a relaxed CaLaAsBr2 crystal, as listed in the Alexandria database.

```
CaLaAsBr2
1.0
5.2290 0.0000 0.0000
0.0000 5.2290 0.0000
0.0000 0.0000 5.9419
As Ca Br La
1 1 2 1
Cartesian
0.0000 0.0000 2.9710 As
0.0000 0.0000 0.0000 Ca
0.0000 2.6145 0.0000 Br
2.6145 0.0000 0.0000 Br
2.6145 2.6145 2.9710 La
```

## Properties
* E above lowest polymorph: 0.000 eV per atom
* E: -4.059 eV per atom
* total moment: 0.161 μB/f.u.

---

[2]
First-principles (PBE) data for a relaxed CaLaAsBr2 crystal, as listed in the Alexandria database.

```
CaLaAsBr2
1.0
-2.8953 2.9043 3.9647
-4.6597 -3.0850 -1.1430
1.6303 -3.9854 4.1100
As Ca Br La
1 1 2 1
Cartesian
0.8152 -1.9927 2.0550 As
-2.9623 -2.0830 3.4659 Ca
-2.3299 -1.5425 -0.5715 Br
-1.4476 1.4522 1.9823 Br
0.0000 0.0000 0.0000 La
```

## Properties
* E above lowest polymorph: 0.002 eV per atom
* E: -4.056 eV per atom
* total moment: 0.000 μB/f.u.

---

[3]
First-principles (PBE) data for a relaxed LiCaAsBr2 crystal, as listed in the Alexandria database.

```
LiCaAsBr2
1.0
4.9614 0.0000 0.0000
0.0000 4.9614 0.0000
0.0000 0.0000 5.1685
As Ca Br Li
1 1 2 1
Cartesian
0.0000 0.0000 2.5842 As
2.4807 2.4807 2.5842 Ca
0.0000 2.4807 0.0000 Br
2.4807 0.0000 0.0000 Br
0.0000 0.0000 0.0000 Li
```

## Properties
* E above lowest polymorph: 0.000 eV per atom
* E: -3.112 eV per atom
* total moment: 1.591 μB/f.u.

---

[4]
First-principles (PBE) data for a relaxed LiCaAsBr2 crystal, as listed in the Alexandria database.

```
LiCaAsBr2
1.0
-1.0324 1.9881 5.2101
3.3056 -4.0492 2.2002
4.6546 3.5623 -0.4370
As Ca Br Li
1 1 2 1
Cartesian
2.3273 1.7812 -0.2185 As
0.0000 0.0000 0.0000 Ca
1.6528 -2.0246 1.1001 Br
-0.5162 0.9941 2.6050 Br
3.4639 0.7506 3.4866 Li
```

## Properties
* E above lowest polymorph: 0.022 eV per atom
* E: -3.090 eV per atom
* total moment: 2.002 μB/f.u.

---

[5]
First-principles (PBE) data for a relaxed LiCaAs2Br crystal, as listed in the Alexandria database.

```
LiCaAs2Br
1.0
4.4976 0.0000 0.0000
0.0000 4.4976 0.0000
0.0000 0.0000 5.9353
As Ca Br Li
2 1 1 1
Cartesian
0.0000 2.2488 0.0000 As
2.2488 0.0000 0.0000 As
2.2488 2.2488 2.9676 Ca
0.0000 0.0000 2.9676 Br
0.0000 0.0000 0.0000 Li
```

## Properties
* E above lowest polymorph: 0.000 eV per atom
* E: -3.376 eV per atom
* total moment: 0.000 μB/f.u.

---

[6]
First-principles (PBE) data for a relaxed LiCaAs2Br crystal, as listed in the Alexandria database.

```
LiCaAs2Br
1.0
-1.5348 -4.5551 2.8852
2.0126 -3.2670 -4.0873
5.0422 -0.0839 2.5498
As Ca Br Li
2 1 1 1
Cartesian
1.0063 -1.6335 -2.0436 As
-0.7674 -2.2776 1.4426 As
0.0000 0.0000 0.0000 Ca
2.5211 -0.0419 1.2749 Br
2.7600 -3.9530 0.6739 Li
```

## Properties
* E above lowest polymorph: 0.380 eV per atom
* E: -2.995 eV per atom
* total moment: 1.938 μB/f.u.

---

[7]
First-principles (PBE) data for a relaxed CaMgAsBr2 crystal, as listed in the Alexandria database.

```
CaMgAsBr2
1.0
-4.1791 -2.8685 -0.9082
2.5712 -2.5974 -3.6278
1.6318 -3.5477 3.6966
Mg As Ca Br
1 1 1 2
Cartesian
0.0000 0.0000 0.0000 Mg
0.8159 -1.7739 1.8483 As
0.0120 -4.5068 -0.4197 Ca
1.2856 -1.2987 -1.8139 Br
-2.0896 -1.4343 -0.4541 Br
```

## Properties
* E above lowest polymorph: 0.000 eV per atom
* E: -3.105 eV per atom
* total moment: 1.000 μB/f.u.

---

[8]
First-principles (PBE) data for a relaxed CaMgAsBr2 crystal, as listed in the Alexandria database.

```
CaMgAsBr2
1.0
5.4430 0.0000 0.0000
0.0000 5.4430 0.0000
0.0000 0.0000 6.0285
Mg As Ca Br
1 1 1 2
Cartesian
2.7215 2.7215 3.0143 Mg
0.0000 0.0000 3.0143 As
0.0000 0.0000 0.0000 Ca
0.0000 2.7215 0.0000 Br
2.7215 0.0000 0.0000 Br
```

## Properties
* E above lowest polymorph: 0.287 eV per atom
* E: -2.818 eV per atom
* total moment: 1.089 μB/f.u.

---

[9]
First-principles (PBE) data for a relaxed CaMoAs2Br crystal, as listed in the Alexandria database.

```
CaMoAs2Br
1.0
-3.7041 -3.0973 0.4022
2.4083 -2.4352 3.4271
-2.2661 3.2134 3.8759
Mo Ca As Br
1 1 2 1
Cartesian
0.0000 0.0000 0.0000 Mo
-1.7810 -1.1595 3.8526 Ca
1.2042 -1.2176 1.7135 As
-1.8521 -1.5486 0.2011 As
-1.1331 1.6067 1.9380 Br
```

## Properties
* E above lowest polymorph: 0.000 eV per atom
* E: -5.008 eV per atom
* total moment: 0.442 μB/f.u.

---

[10]
First-principles (PBE) data for a relaxed CaMoAs2Br crystal, as listed in the Alexandria database.

```
CaMoAs2Br
1.0
-2.9694 4.3133 1.4929
-2.1982 -2.9123 4.0419
3.9107 1.5656 3.2549
Mo Ca As Br
1 1 2 1
Cartesian
-0.6284 1.4833 4.3949 Mo
0.0000 0.0000 0.0000 Ca
-1.0991 -1.4561 2.0210 As
-1.4847 2.1566 0.7465 As
1.9554 0.7828 1.6274 Br
```

## Properties
* E above lowest polymorph: 1.200 eV per atom
* E: -3.808 eV per atom
* total moment: 3.104 μB/f.u.

---

[11]
First-principles (PBE) data for a relaxed NaCaAs2Br crystal, as listed in the Alexandria database.

```
NaCaAs2Br
1.0
-2.6744 0.3779 -4.2710
-2.5492 -4.1876 1.2257
-3.7729 3.0677 2.6339
Na As Ca Br
1 2 1 1
Cartesian
0.0000 0.0000 0.0000 Na
-1.2746 -2.0938 0.6129 As
-1.3372 0.1890 -2.1355 As
-4.4982 -0.3710 -0.2057 Ca
-1.8864 1.5338 1.3170 Br
```

## Properties
* E above lowest polymorph: 0.130 eV per atom
* E: -2.878 eV per atom
* total moment: 0.794 μB/f.u.

---

[12]
First-principles (PBE) data for a relaxed NaCaAs2Br crystal, as listed in the Alexandria database.

```
NaCaAs2Br
1.0
5.6291 0.0000 0.0000
0.0000 5.6291 0.0000
0.0000 0.0000 5.6994
Na As Ca Br
1 2 1 1
Cartesian
2.8145 2.8145 2.8497 Na
0.0000 2.8145 0.0000 As
2.8145 0.0000 0.0000 As
0.0000 0.0000 0.0000 Ca
0.0000 0.0000 2.8497 Br
```

## Properties
* E above lowest polymorph: 0.000 eV per atom
* E: -3.008 eV per atom
* total moment: 1.954 μB/f.u.

---

[13]
First-principles (PBE) data for a relaxed Ca2NbAsBr crystal, as listed in the Alexandria database.

```
Ca2NbAsBr
1.0
6.0144 0.0000 0.0000
0.0000 4.8711 0.0000
0.0000 0.0000 6.0144
Nb Ca As Br
1 2 1 1
Cartesian
0.0000 0.0000 0.0000 Nb
0.0000 0.0000 3.0072 Ca
3.0072 0.0000 0.0000 Ca
0.0000 2.4356 0.0000 As
3.0072 2.4356 3.0072 Br
```

## Properties
* E: -4.152 eV per atom
* total moment: 2.405 μB/f.u.

---

[14]
First-principles (PBE) data for a relaxed CaNbAs2Br crystal, as listed in the Alexandria database.

```
CaNbAs2Br
1.0
-3.6895 -1.8871 -3.3150
2.2527 -4.7997 0.2251
-3.0503 -1.2393 4.1005
Nb Ca As Br
1 1 2 1
Cartesian
-2.2436 -3.9631 0.5053 Nb
0.0000 0.0000 0.0000 Ca
1.1264 -2.3999 0.1126 As
-1.8448 -0.9436 -1.6575 As
-1.5252 -0.6197 2.0502 Br
```

## Properties
* E above lowest polymorph: 1.254 eV per atom
* E: -3.789 eV per atom
* total moment: 1.993 μB/f.u.

---

[15]
First-principles (PBE) data for a relaxed CaNbAs2Br crystal, as listed in the Alexandria database.

```
CaNbAs2Br
1.0
5.0362 0.0000 0.0000
0.0000 5.0362 0.0000
0.0000 0.0000 5.2703
Nb Ca As Br
1 1 2 1
Cartesian
0.0000 0.0000 0.0000 Nb
2.5181 2.5181 2.6351 Ca
0.0000 2.5181 0.0000 As
2.5181 0.0000 0.0000 As
0.0000 0.0000 2.6351 Br
```

## Properties
* E above lowest polymorph: 0.000 eV per atom
* E: -5.043 eV per atom
* total moment: 0.000 μB/f.u.

---

[16]
First-principles (PBE) data for a relaxed CaNb2AsBr crystal, as listed in the Alexandria database.

```
CaNb2AsBr
1.0
-1.4513 3.6691 -3.5876
0.9516 -3.2734 -3.7326
-5.0324 -1.7470 0.2491
Nb Ca As Br
2 1 1 1
Cartesian
-2.5162 -0.8735 0.1245 Nb
-0.7256 1.8345 -1.7938 Nb
0.0000 0.0000 0.0000 Ca
0.4758 -1.6367 -1.8663 As
-2.7660 -0.6757 -3.5356 Br
```

## Properties
* E: -3.841 eV per atom
* total moment: 4.062 μB/f.u.

---

[17]
First-principles (PBE) data for a relaxed CaNiAsBr2 crystal, as listed in the Alexandria database.

```
CaNiAsBr2
1.0
5.0250 0.0000 0.0000
0.0000 5.0250 0.0000
0.0000 0.0000 4.7416
Ni As Ca Br
1 1 1 2
Cartesian
0.0000 0.0000 0.0000 Ni
0.0000 0.0000 2.3708 As
2.5125 2.5125 2.3708 Ca
0.0000 2.5125 0.0000 Br
2.5125 0.0000 0.0000 Br
```

## Properties
* E above lowest polymorph: 0.000 eV per atom
* E: -3.624 eV per atom
* total moment: 0.925 μB/f.u.

---

[18]
First-principles (PBE) data for a relaxed CaNiAsBr2 crystal, as listed in the Alexandria database.

```
CaNiAsBr2
1.0
-0.1428 -4.5172 -3.0833
5.2207 0.8064 -1.4233
1.7808 -3.2558 4.6875
Ni As Ca Br
1 1 1 2
Cartesian
3.4294 -3.4833 0.0904 Ni
0.8904 -1.6279 2.3437 As
0.0000 0.0000 0.0000 Ca
2.6104 0.4032 -0.7116 Br
-0.0714 -2.2586 -1.5416 Br
```

## Properties
* E above lowest polymorph: 0.695 eV per atom
* E: -2.929 eV per atom
* total moment: 3.036 μB/f.u.

---

[19]
First-principles (PBE) data for a relaxed Ca2AsBrO4 crystal, as listed in the Alexandria database.

```
Ca2AsBrO4
1.0
3.2378 0.0000 0.0000
1.6189 4.7807 0.0720
1.6189 0.8015 8.4369
Ca As Br O
2 1 1 4
Cartesian
4.8568 3.3716 6.6411 Ca
1.6189 2.2106 1.8678 Ca
0.0000 0.0000 0.0000 As
3.2378 2.7911 4.2545 Br
3.2378 4.9928 6.8658 O
3.2378 2.0409 8.0133 O
3.2378 0.5894 1.6431 O
3.2378 3.5413 0.4956 O
```

## Properties
* E: -5.710 eV per atom
* total moment: 0.000 μB/f.u.

---

[20]
First-principles (PBE) data for a relaxed CaAsBr2O crystal, as listed in the Alexandria database.

```
CaAsBr2O
1.0
5.0608 0.0000 0.0000
0.0000 5.9547 0.0000
0.0000 0.0000 5.0608
O As Ca Br
1 1 1 2
Cartesian
2.5304 2.9773 2.5304 O
0.0000 0.0000 0.0000 As
0.0000 2.9773 0.0000 Ca
0.0000 0.0000 2.5304 Br
2.5304 0.0000 0.0000 Br
```

## Properties
* E above lowest polymorph: 0.318 eV per atom
* E: -3.021 eV per atom
* total moment: 0.000 μB/f.u.

---

[21]
First-principles (PBE) data for a relaxed CaAsBr2O crystal, as listed in the Alexandria database.

```
CaAsBr2O
1.0
-1.3669 -4.6244 -0.5258
3.0157 -0.4626 -3.7711
3.2767 -1.2844 2.7779
O As Ca Br
1 1 1 2
Cartesian
0.0000 0.0000 0.0000 O
1.6384 -0.6422 1.3889 As
2.4627 -3.1857 -0.7595 Ca
1.5078 -0.2313 -1.8856 Br
-0.6835 -2.3122 -0.2629 Br
```

## Properties
* E above lowest polymorph: 0.000 eV per atom
* E: -3.339 eV per atom
* total moment: 0.000 μB/f.u.

---

[22]
First-principles (PBE) data for a relaxed CaAsBr2O crystal, as listed in the Alexandria database.

```
CaAsBr2O
1.0
-1.8440 5.0835 1.3509
-1.0656 -1.7628 5.1792
6.1856 1.7475 1.8675
O As Ca Br
1 1 1 2
Cartesian
1.6380 2.5341 4.1988 O
3.0928 0.8737 0.9337 As
0.0000 0.0000 0.0000 Ca
-0.5328 -0.8814 2.5896 Br
-0.9220 2.5418 0.6754 Br
```

## Properties
* E above lowest polymorph: 0.499 eV per atom
* E: -2.839 eV per atom
* total moment: 4.759 μB/f.u.

---

[23]
First-principles (PBE) data for a relaxed CaAsOsBr2 crystal, as listed in the Alexandria database.

```
CaAsOsBr2
1.0
5.3242 0.0000 0.0000
0.0000 5.3242 0.0000
0.0000 0.0000 4.6692
As Os Ca Br
1 1 1 2
Cartesian
0.0000 0.0000 2.3346 As
0.0000 0.0000 0.0000 Os
2.6621 2.6621 2.3346 Ca
0.0000 2.6621 0.0000 Br
2.6621 0.0000 0.0000 Br
```

## Properties
* E above lowest polymorph: 0.000 eV per atom
* E: -4.334 eV per atom
* total moment: 0.000 μB/f.u.

---

[24]
First-principles (PBE) data for a relaxed CaAsOsBr2 crystal, as listed in the Alexandria database.

```
CaAsOsBr2
1.0
-3.8406 0.0779 -3.7179
0.2044 -5.3323 -0.3230
-4.1861 -0.4219 4.3153
As Os Ca Br
1 1 1 2
Cartesian
-2.0931 -0.2109 2.1577 As
-3.9111 -2.8381 0.1372 Os
0.0000 0.0000 0.0000 Ca
0.1022 -2.6661 -0.1615 Br
-1.9203 0.0390 -1.8590 Br
```

## Properties
* E above lowest polymorph: 0.976 eV per atom
* E: -3.358 eV per atom
* total moment: 3.049 μB/f.u.

---

[25]
First-principles (PBE) data for a relaxed Ca8As3PBr4 crystal, as listed in the Alexandria database.

```
Ca8As3PBr4
1.0
8.6137 0.0000 0.0000
0.0000 8.6748 0.0409
-4.3069 -4.3050 6.0920
Ca As P Br
8 3 1 4
Cartesian
-2.1819 1.9337 5.9535 Ca
0.0000 4.1147 2.8673 Ca
0.0000 0.2626 3.2307 Ca
2.1819 1.9337 5.9535 Ca
2.1249 2.4361 0.1794 Ca
4.3069 4.1073 2.9021 Ca
4.3069 0.2551 3.2656 Ca
6.4888 2.4361 0.1794 Ca
4.3069 4.3374 0.0204 As
2.1534 2.1849 3.0664 As
-2.1534 2.1849 3.0664 As
0.0000 4.3374 0.0204 P
4.3069 0.0000 0.0000 Br
2.1534 -2.1525 3.0460 Br
0.0000 0.0000 0.0000 Br
-2.1534 -2.1525 3.0460 Br
```

## Properties
* E: -4.179 eV per atom
* total moment: 0.000 μB/f.u.

---

[26]
First-principles (PBE) data for a relaxed CaAs2PBr crystal, as listed in the Alexandria database.

```
CaAs2PBr
1.0
-2.4086 3.7611 1.5879
-0.4048 -2.0546 4.2525
4.7626 2.3742 1.6005
P As Ca Br
1 2 1 1
Cartesian
0.0000 0.0000 0.0000 P
-0.2024 -1.0273 2.1262 As
-1.2043 1.8806 0.7940 As
0.9746 2.0404 3.7204 Ca
2.3813 1.1871 0.8002 Br
```

## Properties
* E above lowest polymorph: 0.000 eV per atom
* E: -3.800 eV per atom
* total moment: 0.000 μB/f.u.

---

[27]
First-principles (PBE) data for a relaxed CaAsPBr2 crystal, as listed in the Alexandria database.

```
CaAsPBr2
1.0
-1.8106 -1.6746 -4.8015
-1.2396 -4.7977 2.1407
-6.4523 2.3820 1.6024
P As Ca Br
1 1 1 2
Cartesian
-4.7513 -2.0451 -0.5292 P
-3.2262 1.1910 0.8012 As
0.0000 0.0000 0.0000 Ca
-0.6198 -2.3989 1.0703 Br
-0.9053 -0.8373 -2.4008 Br
```

## Properties
* E above lowest polymorph: 0.384 eV per atom
* E: -2.980 eV per atom
* total moment: 0.014 μB/f.u.

---

[28]
First-principles (PBE) data for a relaxed CaAsPBr2 crystal, as listed in the Alexandria database.

```
CaAsPBr2
1.0
5.1219 0.0000 0.0000
0.0000 5.1219 0.0000
0.0000 0.0000 4.9947
P As Ca Br
1 1 1 2
Cartesian
0.0000 0.0000 0.0000 P
0.0000 0.0000 2.4974 As
2.5609 2.5609 2.4974 Ca
0.0000 2.5609 0.0000 Br
2.5609 0.0000 0.0000 Br
```

## Properties
* E above lowest polymorph: 0.000 eV per atom
* E: -3.364 eV per atom
* total moment: 0.000 μB/f.u.